Record 1
Density functional theory data (GGA-PBE) for an optimized crystal structure of SiSn2Au8.

a b c (Å): 18.309 4.371 5.498
angles (deg): 90.00 95.40 90.00
Space group C2/m (No. 12)
Inequivalent atoms, fractional coordinates:
Si  0.000  0.000  0.000 x2
Sn  0.177  0.500  0.603 x4
Au  0.029  0.500  0.256 x4
Au  0.076  0.000  0.630 x4
Au  0.134  0.000  0.151 x4
Au  0.241  0.500  0.164 x4

Results
Formation energy without anion corrections = -4 kJ per mole of atoms
DOS at the Fermi energy = 6.90 states/eV per cell

Record 2
Density functional theory data (GGA-PBE) for an optimized crystal structure of ScFe2W.

a b c (Å): 2.724 4.012 5.535
angles (deg): 90.00 102.14 90.00
Space group P2/m (No. 10)
Inequivalent atoms, fractional coordinates:
Sc  0.000  0.000  0.000 x1
Fe  0.260  0.500  0.724 x2
W  0.500  0.000  0.500 x1

Results
Formation energy from the elements = 191 meV per atom
DOS at the Fermi energy = 4.79 states/eV per cell

Record 3
Density functional theory data (GGA-PBE) for an optimized crystal structure of CsRbPdO2.

a b c (Å): 6.184 6.897 5.923
angles (deg): 90.00 90.00 90.00
Space group Pmma (No. 51)
Inequivalent atoms, fractional coordinates:
Cs  0.250  0.000  0.203 x2
Rb  0.250  0.500  0.517 x2
Pd  0.000  0.500  0.000 x2
O  0.250  0.309  0.912 x4

Results
Formation energy without anion corrections = -79 kJ per mole of atoms

Record 4
Density functional theory data (GGA-PBE) for an optimized crystal structure of CdCu2HF.

a b c (Å): 3.482 3.482 5.245
angles (deg): 90.00 90.00 90.00
Space group P4/mmm (No. 123)
Inequivalent atoms, fractional coordinates:
Cd  0.000  0.000  0.000 x1
Cu  0.000  0.500  0.500 x2
H  0.000  0.000  0.500 x1
F  0.500  0.500  0.000 x1

Results
Electronic total energy = -3.115 eV per atom
DOS at the Fermi energy = 0.92 states/eV per cell

Record 5
Density functional theory data (GGA-PBE) for an optimized crystal structure of La3W.

a b c (Å): 3.805 5.678 11.093
angles (deg): 90.00 90.00 90.00
Space group Immm (No. 71)
Inequivalent atoms, fractional coordinates:
La  0.000  0.000  0.000 x2
La  0.000  0.500  0.202 x4
W  0.000  0.000  0.500 x2

Results
Formation energy from the elements = 482 meV per atom
DOS at the Fermi energy = 11.36 states/eV per cell
Polymorph energy (0 for the lowest one) = 68 meV per atom

Record 6
Density functional theory data (GGA-PBE) for an optimized crystal structure of CsSr2VSb.

a b c (Å): 6.345 6.345 5.349
angles (deg): 90.00 90.00 90.00
Space group P4/mmm (No. 123)
Inequivalent atoms, fractional coordinates:
Cs  0.000  0.000  0.000 x1
Sr  0.000  0.500  0.500 x2
V  0.500  0.500  0.500 x1
Sb  0.500  0.500  0.000 x1

Results
Formation energy without anion corrections = 19 kJ per mole of atoms
DOS at the Fermi energy = 4.22 states/eV per cell

Record 7
Density functional theory data (GGA-PBE) for an optimized crystal structure of CdInSb2.

a b c (Å): 4.049 5.197 10.185
angles (deg): 90.00 90.00 90.00
Space group Cmmm (No. 65)
Inequivalent atoms, fractional coordinates:
Cd  0.000  0.000  0.000 x2
In  0.000  0.000  0.500 x2
Sb  0.000  0.500  0.235 x4

Results
Formation energy without anion corrections = 10 kJ per mole of atoms
DOS at the Fermi energy = 3.71 states/eV per cell

Record 8
Density functional theory data (GGA-PBE) for an optimized crystal structure of TaMnAl2.

a b c (Å): 3.875 3.875 8.119
angles (deg): 90.00 90.00 90.00
Space group I4/mmm (No. 139)
Inequivalent atoms, fractional coordinates:
Ta  0.000  0.000  0.000 x2
Mn  0.000  0.000  0.500 x2
Al  0.000  0.500  0.250 x4

Results
Formation energy from the elements = -112 meV per atom
DOS at the Fermi energy = 5.96 states/eV per cell
Polymorph energy (0 for the lowest one) = 104 meV per atom

Record 9
Density functional theory data (GGA-PBE) for an optimized crystal structure of Pm3Ho3Sc.

a b c (Å): 9.4902 9.4902 5.6855
angles (deg): 90.00 90.00 120.00
Space group P6_3/m (No. 176)
Inequivalent atoms, fractional coordinates:
Pm  0.0528  0.2460  0.2500 x6
Ho  0.0972  0.4811  0.7500 x6
Sc  0.3333  0.6667  0.2500 x2

Results
Formation energy from the elements = 34 meV per atom
DOS at the Fermi energy = 24.48 states/eV per cell
Polymorph energy (0 for the lowest one) = 0 meV per atom

Record 10
Density functional theory data (GGA-PBE) for an optimized crystal structure of Ga2TcHF.

a b c (Å): 4.524 4.524 3.184
angles (deg): 90.00 90.00 90.00
Space group P4/mmm (No. 123)
Inequivalent atoms, fractional coordinates:
Ga  0.000  0.500  0.000 x2
Tc  0.000  0.000  0.500 x1
H  0.000  0.000  0.000 x1
F  0.500  0.500  0.500 x1

Results
Electronic total energy = -4.445 eV per atom
DOS at the Fermi energy = 2.61 states/eV per cell

Record 11
Density functional theory data (GGA-PBE) for an optimized crystal structure of Tb3BeSi6Ni2.

a b c (Å): 5.2816 5.2816 8.9448
angles (deg): 90.00 90.00 120.00
Space group P-3m1 (No. 164)
Inequivalent atoms, fractional coordinates:
Tb  0.0000  0.0000  0.0000 x1
Tb  0.3333  0.6667  0.5803 x2
Be  0.0000  0.0000  0.5000 x1
Si  0.1630  0.3261  0.2840 x6
Ni  0.3333  0.6667  0.0943 x2

Results
Formation energy without anion corrections = -27 kJ per mole of atoms
DOS at the Fermi energy = 5.95 states/eV per cell

Record 12
Density functional theory data (GGA-PBE) for an optimized crystal structure of MgAsPt.

a b c (Å): 2.986 2.986 11.657
angles (deg): 90.00 90.00 90.00
Space group I4mm (No. 107)
Inequivalent atoms, fractional coordinates:
Mg  0.000  0.000  0.000 x2
As  0.000  0.000  0.690 x2
Pt  0.000  0.000  0.348 x2

Results
Formation energy from the elements = -375 meV per atom
DOS at the Fermi energy = 0.95 states/eV per cell

Record 13
Density functional theory data (GGA-PBE) for an optimized crystal structure of NiMo3Pt4.

a b c (Å): 22.344 2.740 4.127
angles (deg): 90.00 92.58 90.00
Space group C2/m (No. 12)
Inequivalent atoms, fractional coordinates:
Ni  0.000  0.000  0.000 x2
Mo  0.000  0.500  0.500 x2
Mo  0.157  0.500  0.230 x4
Pt  0.099  0.000  0.706 x4
Pt  0.220  0.000  0.742 x4

Results
Formation energy from the elements = -56 meV per atom
DOS at the Fermi energy = 12.98 states/eV per cell

Record 14
Density functional theory data (GGA-PBE) for an optimized crystal structure of AgRuPt2.

a b c (Å): 2.786 3.942 5.686
angles (deg): 90.00 90.00 90.00
Space group Pmmm (No. 47)
Inequivalent atoms, fractional coordinates:
Ag  0.000  0.000  0.000 x1
Ru  0.000  0.000  0.500 x1
Pt  0.500  0.500  0.265 x2

Results
Formation energy from the elements = 128 meV per atom
DOS at the Fermi energy = 4.82 states/eV per cell
Polymorph energy (0 for the lowest one) = 100 meV per atom

Record 15
Density functional theory data (GGA-PBE) for an optimized crystal structure of YZrSc2Fe.

a b c (Å): 4.970 4.970 4.857
angles (deg): 90.00 90.00 90.00
Space group P4/mmm (No. 123)
Inequivalent atoms, fractional coordinates:
Y  0.000  0.000  0.000 x1
Zr  0.500  0.500  0.000 x1
Sc  0.000  0.500  0.500 x2
Fe  0.500  0.500  0.500 x1

Results
Formation energy from the elements = 49 meV per atom
DOS at the Fermi energy = 6.92 states/eV per cell

Record 16
Density functional theory data (GGA-PBE) for an optimized crystal structure of ZnAgOs2.

a b c (Å): 3.037 3.037 6.482
angles (deg): 90.00 90.00 90.00
Space group P4/mmm (No. 123)
Inequivalent atoms, fractional coordinates:
Zn  0.000  0.000  0.000 x1
Ag  0.000  0.000  0.500 x1
Os  0.500  0.500  0.214 x2

Results
Formation energy from the elements = 813 meV per atom
DOS at the Fermi energy = 4.87 states/eV per cell

Record 17
Density functional theory data (GGA-PBE) for an optimized crystal structure of Sc4Te2CS.

a b c (Å): 6.536 3.717 6.924
angles (deg): 90.00 108.06 90.00
Space group P2/m (No. 10)
Inequivalent atoms, fractional coordinates:
Sc  0.203  0.000  0.187 x2
Sc  0.237  0.500  0.810 x2
Te  0.000  0.000  0.500 x1
Te  0.500  0.500  0.500 x1
C  0.000  0.500  0.000 x1
S  0.500  0.000  0.000 x1

Results
Formation energy without anion corrections = -116 kJ per mole of atoms
DOS at the Fermi energy = 3.71 states/eV per cell

Record 18
Density functional theory data (GGA-PBE) for an optimized crystal structure of Cs12RbHg6.

a b c (Å): 14.037 14.037 14.037
angles (deg): 90.00 90.00 90.00
Space group Im-3 (No. 204)
Inequivalent atoms, fractional coordinates:
Cs  0.000  0.314  0.185 x24
Rb  0.000  0.000  0.000 x2
Hg  0.000  0.108  0.500 x12

Results
Formation energy from the elements = -158 meV per atom
DOS at the Fermi energy = 31.39 states/eV per cell

Record 19
Density functional theory data (GGA-PBE) for an optimized crystal structure of Sr2MgBi2.

a b c (Å): 9.830 9.830 3.767
angles (deg): 90.00 90.00 90.00
Space group P4/mbm (No. 127)
Inequivalent atoms, fractional coordinates:
Sr  0.136  0.364  0.000 x4
Mg  0.000  0.000  0.000 x2
Bi  0.165  0.665  0.500 x4

Results
Formation energy from the elements = -414 meV per atom
DOS at the Fermi energy = 6.92 states/eV per cell

Record 20
Density functional theory data (GGA-PBE) for an optimized crystal structure of AlCr.

a b c (Å): 9.272 3.035 5.893
angles (deg): 90.00 108.35 90.00
Space group C2/m (No. 12)
Inequivalent atoms, fractional coordinates:
Al  0.000  0.000  0.000 x2
Al  0.172  0.500  0.810 x4
Cr  0.000  0.000  0.500 x2
Cr  0.161  0.500  0.349 x4

Results
Formation energy from the elements = -76 meV per atom
DOS at the Fermi energy = 8.60 states/eV per cell